1.
The following is a PBE calculation of a relaxed AcNd4Er5 crystal, from the Alexandria database.

Lattice parameters (Å, degrees): 3.658 3.658 25.157 90.00 90.00 90.00
Fractional coordinates of all 10 atoms:
Ac: 0.000 0.000 0.000
Nd: 0.000 0.000 0.204
Nd: 0.000 0.000 0.401
Nd: 0.000 0.000 0.599
Nd: 0.000 0.000 0.796
Er: 0.500 0.500 0.106
Er: 0.500 0.500 0.303
Er: 0.500 0.500 0.500
Er: 0.500 0.500 0.697
Er: 0.500 0.500 0.894

ΔH_f (0 K): 33 meV per atom

---

2.
The following is a PBE calculation of a relaxed Pr2NdMg5 crystal, from the Alexandria database.

Lattice parameters (Å, degrees): 5.304 5.304 8.788 107.56 107.56 90.00
Fractional coordinates of all 8 atoms:
Pr: 0.739 0.739 0.477
Pr: 0.261 0.261 0.523
Nd: 0.000 0.000 0.000
Mg: 0.500 0.500 0.000
Mg: 0.883 0.383 0.767
Mg: 0.383 0.883 0.767
Mg: 0.117 0.617 0.233
Mg: 0.617 0.117 0.233

ΔH_f (0 K): -100 meV per atom

---

no.,size of the total moment (μB per cell),volume (A^3/atom)
1,0.00,33.7
2,0.00,27.9